(1)
# Ca2AcSmAu4 (GGA-PBE, optimized geometry)
data_Ca2AcSmAu4
_chemical_formula_sum 'Ca2 Ac1 Sm1 Au4'
_cell_length_a 9.221
_cell_length_b 9.221
_cell_length_c 9.221
_cell_angle_alpha 32.94
_cell_angle_beta 32.94
_cell_angle_gamma 32.94
_space_group_name_H-M_alt 'P 1'
_space_group_IT_number 1
loop_
_space_group_symop_operation_xyz
'x,y,z'
loop_
_atom_site_label
_atom_site_type_symbol
_atom_site_fract_x
_atom_site_fract_y
_atom_site_fract_z
_atom_site_occupancy
Ca1 Ca 0.247 0.247 0.247 1
Ca2 Ca 0.753 0.753 0.753 1
Ac1 Ac 0.000 0.000 0.000 1
Sm1 Sm 0.500 0.500 0.500 1
Au1 Au 0.128 0.128 0.128 1
Au2 Au 0.382 0.382 0.382 1
Au3 Au 0.618 0.618 0.618 1
Au4 Au 0.872 0.872 0.872 1
# symmetry	No. 166
# VASP energy	-32.35	eV per cell
# size of the total moment	0.0	Bohr magnetons per cell
# N(E_F)	5.45	states/eV/cell
# energy relative to the elements	-618.1	kJ/mol of formula units



(2)
# HfSn3Se (GGA-PBE, optimized geometry)
data_HfSn3Se
_chemical_formula_sum 'Hf1 Sn3 Se1'
_cell_length_a 5.308
_cell_length_b 5.308
_cell_length_c 5.308
_cell_angle_alpha 90.00
_cell_angle_beta 90.00
_cell_angle_gamma 90.00
_space_group_name_H-M_alt 'P 1'
_space_group_IT_number 1
loop_
_space_group_symop_operation_xyz
'x,y,z'
loop_
_atom_site_label
_atom_site_type_symbol
_atom_site_fract_x
_atom_site_fract_y
_atom_site_fract_z
_atom_site_occupancy
Hf1 Hf 0.000 0.000 0.000 1
Sn1 Sn 0.000 0.500 0.500 1
Sn2 Sn 0.500 0.000 0.500 1
Sn3 Sn 0.500 0.500 0.000 1
Se1 Se 0.500 0.500 0.500 1
# symmetry	No. 221
# ΔE to the lowest computed polymorph	0.224	eV per atom
# VASP energy	-21.73	eV per cell
# size of the total moment	0.0	Bohr magnetons per cell
# N(E_F)	7.67	states/eV/cell
# ΔE_f (raw)	72	kJ/mol of atoms



(3)
# BeP3 (GGA-PBE, optimized geometry)
data_BeP3
_chemical_formula_sum 'Be2 P6'
_cell_length_a 3.422
_cell_length_b 3.433
_cell_length_c 10.231
_cell_angle_alpha 90.00
_cell_angle_beta 90.00
_cell_angle_gamma 90.00
_space_group_name_H-M_alt 'P 1'
_space_group_IT_number 1
loop_
_space_group_symop_operation_xyz
'x,y,z'
loop_
_atom_site_label
_atom_site_type_symbol
_atom_site_fract_x
_atom_site_fract_y
_atom_site_fract_z
_atom_site_occupancy
Be1 Be 0.000 0.000 0.000 1
Be2 Be 0.500 0.500 0.000 1
P1 P 0.000 0.000 0.500 1
P2 P 0.000 0.500 0.171 1
P3 P 0.000 0.500 0.829 1
P4 P 0.500 0.000 0.171 1
P5 P 0.500 0.000 0.829 1
P6 P 0.500 0.500 0.500 1
# symmetry	No. 65
# ΔE to the lowest computed polymorph	0.626	eV per atom
# VASP energy	-36.11	eV per cell
# size of the total moment	0.0	Bohr magnetons per cell
# N(E_F)	4.88	states/eV/cell
# energy relative to the elements	183.2	kJ/mol of formula units